(1)
NdSeBr, relaxed, DFT PBE; magnetic moment = 0.00 μB/f.u.; raw total energy = -5.20 eV per atom
1.0
7.1401 0.0000 0.0000
0.0000 7.2895 0.0000
-1.2686 0.0000 7.1342
Nd Se Br
4 4 4
Cartesian
0.9690 0.3258 2.0995 Nd
0.3347 3.3190 5.6666 Nd
5.5368 3.9705 1.4676 Nd
4.9025 6.9638 5.0347 Nd
-0.1761 5.3870 3.6344 Se
0.4582 5.5473 0.0673 Se
5.4133 1.7422 7.0669 Se
6.0476 1.9025 3.4998 Se
2.1374 0.9585 4.9399 Br
2.7717 2.6862 1.3728 Br
3.0998 4.6033 5.7614 Br
3.7341 6.3310 2.1943 Br

---

(2)
NaZrInPt, relaxed, DFT PBE; magnetic moment = 0.00 μB/f.u.; raw total energy = -4.95 eV per atom
1.0
0.0000 3.4234 3.4234
3.4234 0.0000 3.4234
3.4234 3.4234 0.0000
Na Zr In Pt
1 1 1 1
Cartesian
0.0000 0.0000 0.0000 Na
3.4234 3.4234 3.4234 Zr
5.1350 5.1350 5.1350 In
1.7117 1.7117 1.7117 Pt

---

(3)
HfCuBiMo, relaxed, DFT PBE; magnetic moment = 0.03 μB/f.u.; raw total energy = -6.73 eV per atom
1.0
0.0000 3.3440 3.3440
3.3440 0.0000 3.3440
3.3440 3.3440 0.0000
Hf Cu Bi Mo
1 1 1 1
Cartesian
0.0000 0.0000 0.0000 Hf
1.6720 1.6720 1.6720 Cu
3.3440 3.3440 3.3440 Bi
5.0160 5.0160 5.0160 Mo

---

(4)
HfZrNiB, relaxed, DFT PBE; magnetic moment = 1.64 μB/f.u.; raw total energy = -7.02 eV per atom
1.0
0.0000 3.1409 3.1409
3.1409 0.0000 3.1409
3.1409 3.1409 0.0000
Hf Zr Ni B
1 1 1 1
Cartesian
0.0000 0.0000 0.0000 Hf
4.7114 4.7114 4.7114 Zr
3.1409 3.1409 3.1409 Ni
1.5705 1.5705 1.5705 B

---

(5)
NaAg3GeS4, relaxed, DFT PBE; raw total energy = -3.77 eV per atom
1.0
6.4273 0.0000 0.0000
0.0000 7.4091 0.0000
-3.1968 0.0000 9.8941
Na Ag Ge S
2 6 2 8
Cartesian
0.3396 1.8523 1.2511 Na
2.8908 5.5568 8.6430 Na
-0.2176 0.3466 5.4207 Ag
-0.2176 3.3580 5.4207 Ag
-0.3687 1.8523 8.0126 Ag
3.5991 5.5568 1.8815 Ag
3.4481 4.0511 4.4734 Ag
3.4481 7.0625 4.4734 Ag
0.2204 5.5568 2.7848 Ge
3.0101 1.8523 7.1093 Ge
-2.0726 0.0366 7.1304 S
-2.0726 3.6679 7.1304 S
1.3897 5.5568 0.9153 S
1.3289 5.5568 4.7662 S
1.9015 1.8523 5.1279 S
1.8408 1.8523 8.9788 S
5.3030 3.7412 2.7637 S
5.3030 7.3724 2.7637 S

---

(6)
TbSm2Si4Au4, relaxed, DFT PBE; magnetic moment = 0.00 μB/f.u.; raw total energy = -5.18 eV per atom
1.0
-2.0928 2.1318 12.5653
2.0928 -2.1318 12.5653
2.0928 2.1318 -12.5653
Tb Sm Si Au
1 2 4 4
Cartesian
0.0000 0.0000 0.0000 Tb
2.0928 0.0000 8.8559 Sm
0.0000 2.1318 3.7095 Sm
2.0928 0.0000 4.7793 Si
0.0000 0.0000 11.3957 Si
0.0000 0.0000 13.7349 Si
0.0000 2.1318 7.7860 Si
2.0928 0.0000 2.3439 Au
0.0000 0.0000 6.3238 Au
0.0000 0.0000 18.8068 Au
0.0000 2.1318 10.2214 Au

---

(7)
RbNaCoRe, relaxed, DFT PBE; magnetic moment = 0.08 μB/f.u.; raw total energy = -3.66 eV per atom
1.0
0.0000 3.3651 3.3651
3.3651 0.0000 3.3651
3.3651 3.3651 0.0000
Rb Na Co Re
1 1 1 1
Cartesian
0.0000 0.0000 0.0000 Rb
5.0477 5.0477 5.0477 Na
3.3651 3.3651 3.3651 Co
1.6826 1.6826 1.6826 Re

---

(8)
TbGa2PtAu, relaxed, DFT PBE; magnetic moment = 0.01 μB/f.u.; raw total energy = -4.77 eV per atom
1.0
4.1841 0.0000 0.0000
0.0000 4.1841 0.0000
0.0000 0.0000 11.0415
Tb Ga Pt Au
2 4 2 2
Cartesian
1.0460 1.0460 2.6486 Tb
3.1381 3.1381 8.3929 Tb
1.0460 1.0460 9.6053 Ga
1.0460 3.1381 5.5208 Ga
3.1381 1.0460 5.5208 Ga
3.1381 3.1381 1.4362 Ga
1.0460 3.1381 0.0000 Pt
3.1381 1.0460 0.0000 Pt
1.0460 1.0460 7.1145 Au
3.1381 3.1381 3.9271 Au

---

(9)
ZrAsAuO, relaxed, DFT PBE; magnetic moment = 0.00 μB/f.u.; raw total energy = -6.66 eV per atom
1.0
3.7669 0.0000 0.0000
0.0000 3.7669 0.0000
0.0000 0.0000 9.1471
Zr As Au O
2 2 2 2
Cartesian
0.9417 0.9417 1.2151 Zr
2.8252 2.8252 7.9321 Zr
0.9417 0.9417 6.6797 As
2.8252 2.8252 2.4675 As
0.9417 2.8252 4.5736 Au
2.8252 0.9417 4.5736 Au
0.9417 2.8252 0.0000 O
2.8252 0.9417 0.0000 O

---

(10)
KNa3Sb2Au2, relaxed, DFT PBE; raw total energy = -2.94 eV per atom
1.0
5.9655 0.0000 0.0000
0.0000 6.0602 0.0000
-1.5111 0.0000 6.2094
K Na Sb Au
1 3 2 2
Cartesian
0.0000 0.0000 0.0000 K
1.3707 3.0301 2.1940 Na
3.2985 0.0000 2.1579 Na
4.6664 3.0301 4.2638 Na
0.3722 0.0000 3.3655 Sb
4.2869 3.0301 0.9111 Sb
1.4975 1.5396 5.2629 Au
1.4975 4.5205 5.2629 Au

---

(11)
CsZrAgTe2S, relaxed, DFT PBE; magnetic moment = 0.00 μB/f.u.; raw total energy = -4.64 eV per atom
1.0
2.1098 -8.5907 0.0000
2.1098 8.5907 0.0000
0.0000 0.0000 10.4685
Cs Zr Ag Te S
2 2 2 4 2
Cartesian
2.1098 4.3893 7.8514 Cs
2.1098 -4.3893 2.6171 Cs
2.1098 0.0000 0.0000 Zr
2.1098 0.0000 5.2342 Zr
2.1098 8.0134 2.6171 Ag
2.1098 -8.0134 7.8514 Ag
2.1098 6.5322 0.3283 Te
2.1098 6.5322 4.9060 Te
2.1098 -6.5322 5.5625 Te
2.1098 -6.5322 10.1402 Te
2.1098 0.8209 2.6171 S
2.1098 -0.8209 7.8514 S

---

(12)
NaFeTe3Pb, relaxed, DFT PBE; magnetic moment = 3.30 μB/f.u.; raw total energy = -4.07 eV per atom
1.0
8.8611 0.0000 0.0000
0.0000 4.1858 0.0000
-1.9976 0.0000 10.2052
Na Fe Te Pb
2 2 6 2
Cartesian
1.5200 1.0465 2.9798 Na
5.3435 3.1394 7.2254 Na
-0.6518 1.0465 5.8754 Fe
7.5154 3.1394 4.3298 Fe
-1.3430 1.0465 8.3528 Te
0.9748 3.1394 5.5388 Te
3.4815 3.1394 1.7181 Te
3.3821 1.0465 8.4871 Te
5.8888 1.0465 4.6664 Te
8.2066 3.1394 1.8524 Te
1.0773 3.1394 8.8639 Pb
5.7862 1.0465 1.3413 Pb

---

(13)
Tm3Si2Ag4Ge2, relaxed, DFT PBE; magnetic moment = 0.00 μB/f.u.; raw total energy = -4.55 eV per atom
1.0
-2.1255 3.5233 7.1534
2.1255 -3.5233 7.1534
2.1255 3.5233 -7.1534
Tm Si Ag Ge
3 2 4 2
Cartesian
0.0000 0.0000 0.0000 Tm
2.1255 0.0000 5.3608 Tm
0.0000 3.5233 1.7925 Tm
0.0000 0.0000 3.0933 Si
0.0000 0.0000 11.2135 Si
2.1255 1.4010 -2.4803 Ag
2.1255 1.4010 2.4803 Ag
0.0000 2.1223 4.6730 Ag
0.0000 2.1223 9.6337 Ag
2.1255 2.2084 0.0000 Ge
0.0000 1.3148 7.1534 Ge

---

(14)
TbSnNO, relaxed, DFT PBE; magnetic moment = 0.00 μB/f.u.; raw total energy = -6.78 eV per atom
1.0
3.8188 0.0000 0.0000
0.0000 5.8753 0.0000
0.0000 0.0000 6.4601
Tb Sn N O
2 2 2 2
Cartesian
0.0000 1.1104 0.0000 Tb
0.0000 4.7649 3.2301 Tb
1.9094 1.6931 2.9749 Sn
1.9094 4.1822 6.2050 Sn
1.9094 2.2810 0.5584 N
1.9094 3.5943 3.7884 N
0.0000 0.8203 4.3073 O
0.0000 5.0550 1.0773 O

---

(15)
Zn2AgAu, relaxed, DFT PBE; energy relative to the elements = -0.16 eV per atom; raw total energy = -2.31 eV per atom
1.0
4.5792 0.0000 0.0000
0.0000 6.1319 0.0000
0.0000 0.0000 4.5905
Zn Ag Au
4 2 2
Cartesian
1.1448 0.0017 1.0429 Zn
1.1448 3.0642 1.0429 Zn
3.4344 6.1301 3.5476 Zn
3.4344 3.0677 3.5476 Zn
1.1448 1.5330 3.3340 Ag
3.4344 4.5989 1.2565 Ag
1.1448 4.5989 3.3582 Au
3.4344 1.5330 1.2323 Au

---

(16)
GdNiB4, relaxed, DFT PBE; magnetic moment = 0.00 μB/f.u.; raw total energy = -6.26 eV per atom
1.0
-1.5757 2.6539 3.7631
1.5757 -2.6539 3.7631
1.5757 2.6539 -3.7631
Gd Ni B
1 1 4
Cartesian
0.0000 0.0000 0.0000 Gd
0.0000 0.0000 3.7631 Ni
1.5757 -0.9103 1.8592 B
1.5757 0.9103 1.8592 B
0.0000 1.7436 1.9040 B
0.0000 3.5642 1.9040 B

---

(17)
LiMg2Zn, relaxed, DFT PBE; raw total energy = -1.55 eV per atom
1.0
4.6292 0.0000 0.0000
-2.3146 4.0090 0.0000
0.0000 0.0000 9.2033
Li Mg Zn
2 4 2
Cartesian
0.0000 2.6726 2.3008 Li
2.3146 1.3363 6.9025 Li
0.0000 2.6726 5.3847 Mg
0.0000 2.6726 8.4203 Mg
2.3146 1.3363 0.7831 Mg
2.3146 1.3363 3.8186 Mg
0.0000 0.0000 0.0000 Zn
0.0000 0.0000 4.6017 Zn

---

(18)
Gd2DyB2Pd2N3, relaxed, DFT PBE; magnetic moment = 0.02 μB/f.u.; raw total energy = -7.42 eV per atom
1.0
-1.8288 1.8288 10.1638
1.8288 -1.8288 10.1638
1.8288 1.8288 -10.1638
Gd Dy B Pd N
2 1 2 2 3
Cartesian
0.0000 0.0000 2.4178 Gd
0.0000 0.0000 17.9098 Gd
0.0000 0.0000 10.1638 Dy
0.0000 0.0000 6.4124 B
0.0000 0.0000 13.9152 B
1.8288 0.0000 5.0819 Pd
0.0000 1.8288 5.0819 Pd
0.0000 0.0000 0.0000 N
0.0000 0.0000 7.8432 N
0.0000 0.0000 12.4844 N

---

(19)
GePt2O4, relaxed, DFT PBE; magnetic moment = 0.53 μB/f.u.; raw total energy = -5.50 eV per atom
1.0
0.0000 4.5254 4.5254
4.5254 0.0000 4.5254
4.5254 4.5254 0.0000
Ge Pt O
2 4 8
Cartesian
1.1313 1.1313 1.1313 Ge
7.9194 7.9194 7.9194 Ge
4.5254 2.2627 2.2627 Pt
2.2627 4.5254 2.2627 Pt
2.2627 2.2627 4.5254 Pt
4.5254 4.5254 4.5254 Pt
2.3947 2.3947 2.3947 O
4.3933 4.3933 2.3947 O
4.3933 2.3947 4.3933 O
6.6560 4.6574 4.6574 O
2.3947 4.3933 4.3933 O
4.6574 6.6560 4.6574 O
4.6574 4.6574 6.6560 O
6.6560 6.6560 6.6560 O

---

(20)
SrTaAg, relaxed, DFT PBE; magnetic moment = 4.02 μB/f.u.; raw total energy = -3.64 eV per atom
1.0
0.0000 3.6392 3.6392
3.6392 0.0000 3.6392
3.6392 3.6392 0.0000
Sr Ta Ag
1 1 1
Cartesian
0.0000 0.0000 0.0000 Sr
1.8196 1.8196 1.8196 Ta
5.4589 5.4589 5.4589 Ag